Record 1
Density functional theory data (PBE) for Er4Cd5Ga2 after structural relaxation.

Calculated values
- crystal system = monoclinic
- calculated total energy (eV per atom) = -2.98
- density (g/cm3) = 8.59
- ΔH_f (0 K) (meV per atom) = -350

Unit cell a=7.6299 b=3.7107 c=9.3709 alpha=90.00 beta=93.34 gamma=90.00
With the nearest neighbours (Å) after each atom.
Fractional coordinates of all 11 atoms:
Er 0.1778 0.0000 0.3618  2 Ga 2.95, 8 Cd 3.24-3.30
Er 0.2463 0.0000 0.9323  4 Ga 3.02-3.03, 6 Cd 3.22-3.30
Er 0.7537 0.0000 0.0677  4 Ga 3.02-3.03, 6 Cd 3.22-3.30
Er 0.8222 0.0000 0.6382  2 Ga 2.95, 8 Cd 3.24-3.30
Cd 0.1700 0.5000 0.6442  1 Ga 2.85, 1 Cd 2.93
Cd 0.4465 0.5000 0.1810  1 Ga 2.94, 2 Cd 2.99-3.27, 4 Er 3.22-3.29
Cd 0.5000 0.5000 0.5000  4 Cd 2.93-2.99
Cd 0.5535 0.5000 0.8190  1 Ga 2.94, 2 Cd 2.99-3.27, 4 Er 3.22-3.29
Cd 0.8300 0.5000 0.3558  1 Ga 2.85, 1 Cd 2.93
Ga 0.0629 0.5000 0.1294  1 Ga 2.56, 1 Cd 2.85
Ga 0.9371 0.5000 0.8706  1 Ga 2.56, 1 Cd 2.85

Record 2
Density functional theory data (PBE) for KH3F after structural relaxation.

Calculated values
- excess energy over the best structure of this formula in the dataset (meV/atom) = 0
- crystal system = cubic
- calculated total energy (eV per atom) = -2.11
- density (g/cm3) = 1.64

Unit cell a=3.9518 b=3.9518 c=3.9518 alpha=90.00 beta=90.00 gamma=90.00
With the nearest neighbours (Å) after each atom.
Fractional coordinates of all 5 atoms:
K 0.0000 0.0000 0.0000  12 H 2.79
H 0.0000 0.5000 0.5000  2 F 1.98
H 0.5000 0.0000 0.5000  2 F 1.98
H 0.5000 0.5000 0.0000  2 F 1.98
F 0.5000 0.5000 0.5000  6 H 1.98

Record 3
Density functional theory data (PBE) for SmGd3Tc after structural relaxation.

Calculated values
- crystal system = cubic
- calculated total energy (eV per atom) = -11.36
- density (g/cm3) = 7.54
- ΔH_f (0 K) (meV per atom) = 109

Unit cell a=5.4128 b=5.4128 c=5.4128 alpha=90.00 beta=90.00 gamma=90.00
With the nearest neighbours (Å) after each atom.
Fractional coordinates of all 5 atoms:
Sm 0.0000 0.0000 0.0000  12 Gd 3.83
Gd 0.0000 0.5000 0.5000  2 Tc 2.71
Gd 0.5000 0.0000 0.5000  2 Tc 2.71
Gd 0.5000 0.5000 0.0000  2 Tc 2.71
Tc 0.5000 0.5000 0.5000  6 Gd 2.71

Record 4
Density functional theory data (PBE) for Nd5Sm2Th3 after structural relaxation.

Calculated values
- crystal system = monoclinic
- calculated total energy (eV per atom) = -5.50
- density (g/cm3) = 8.38
- ΔH_f (0 K) (meV per atom) = 56

Unit cell a=6.3166 b=6.3166 c=11.5102 alpha=90.18 beta=90.18 gamma=47.81
With the nearest neighbours (Å) after each atom.
Fractional coordinates of all 10 atoms:
Nd 0.0000 0.0000 0.0000  6 Nd 3.64-3.68, 4 Sm 3.67, 2 Th 3.67
Nd 0.1993 0.1993 0.4026  7 Th 3.59-3.66, 3 Nd 3.60-3.63, 2 Sm 3.61
Nd 0.3016 0.3016 0.1044  4 Sm 3.61-3.76, 2 Th 3.62, 6 Nd 3.63-3.71
Nd 0.6984 0.6984 0.8956  4 Sm 3.61-3.76, 2 Th 3.62, 6 Nd 3.63-3.71
Nd 0.8007 0.8007 0.5974  7 Th 3.59-3.66, 3 Nd 3.60-3.63, 2 Sm 3.61
Sm 0.4021 0.4021 0.7937  4 Th 3.57-3.69, 8 Nd 3.61-3.76
Sm 0.5979 0.5979 0.2063  4 Th 3.57-3.69, 8 Nd 3.61-3.76
Th 0.0974 0.0974 0.6967  7 Nd 3.59-3.67, 3 Sm 3.59-3.69, 2 Th 3.60
Th 0.5000 0.5000 0.5000  2 Sm 3.57, 4 Th 3.60, 6 Nd 3.62-3.65
Th 0.9026 0.9026 0.3033  7 Nd 3.59-3.67, 3 Sm 3.59-3.69, 2 Th 3.60

Record 5
Density functional theory data (PBE) for TbCe4Y3Te8 after structural relaxation.

Calculated values
- crystal system = trigonal
- calculated total energy (eV per atom) = -5.91
- density (g/cm3) = 6.78
- ΔE_f (raw) (meV/atom) = -1351

Unit cell a=8.9331 b=8.9331 c=8.9331 alpha=58.92 beta=58.92 gamma=58.92
With the nearest neighbours (Å) after each atom.
Fractional coordinates of all 16 atoms:
Tb 0.0000 0.0000 0.0000  6 Te 3.09
Ce 0.0000 0.0000 0.5000  6 Te 3.18
Ce 0.0000 0.5000 0.0000  6 Te 3.18
Ce 0.5000 0.0000 0.0000  6 Te 3.18
Ce 0.5000 0.5000 0.5000  6 Te 3.18
Y 0.0000 0.5000 0.5000  6 Te 3.09
Y 0.5000 0.0000 0.5000  6 Te 3.09
Y 0.5000 0.5000 0.0000  6 Te 3.09
Te 0.2467 0.2467 0.7461  2 Y 3.09, 1 Tb 3.09, 3 Ce 3.18
Te 0.2467 0.7461 0.2467  2 Y 3.09, 1 Tb 3.09, 3 Ce 3.18
Te 0.2536 0.2536 0.2536  3 Y 3.09, 3 Ce 3.18
Te 0.2539 0.7533 0.7533  2 Y 3.09, 1 Tb 3.09, 3 Ce 3.18
Te 0.7461 0.2467 0.2467  2 Y 3.09, 1 Tb 3.09, 3 Ce 3.18
Te 0.7464 0.7464 0.7464  3 Y 3.09, 3 Ce 3.18
Te 0.7533 0.2539 0.7533  2 Y 3.09, 1 Tb 3.09, 3 Ce 3.18
Te 0.7533 0.7533 0.2539  2 Y 3.09, 1 Tb 3.09, 3 Ce 3.18

Record 6
Density functional theory data (PBE) for Th2ScZn4 after structural relaxation.

Calculated values
- crystal system = tetragonal
- calculated total energy (eV per atom) = -3.81
- density (g/cm3) = 7.80
- ΔH_f (0 K) (meV per atom) = -56

Unit cell a=7.5805 b=7.5805 c=7.5805 alpha=141.97 beta=141.97 gamma=54.87
With the nearest neighbours (Å) after each atom.
Fractional coordinates of all 7 atoms:
Th 0.2377 0.2377 0.0000  8 Zn 3.09-3.30
Th 0.7623 0.7623 0.0000  8 Zn 3.09-3.30
Sc 0.5000 0.5000 0.0000  8 Zn 2.81
Zn 0.0993 0.5993 0.5000  1 Zn 2.67, 2 Sc 2.81
Zn 0.4007 0.9007 0.5000  1 Zn 2.67, 2 Sc 2.81
Zn 0.5993 0.0993 0.5000  1 Zn 2.67, 2 Sc 2.81
Zn 0.9007 0.4007 0.5000  1 Zn 2.67, 2 Sc 2.81

Record 7
Density functional theory data (PBE) for Ti2PO after structural relaxation.

Calculated values
- excess energy over the best structure of this formula in the dataset (meV/atom) = 285
- crystal system = cubic
- calculated total energy (eV per atom) = -7.71
- density (g/cm3) = 4.75
- ΔE_f (raw) (meV/atom) = -1173

Unit cell a=4.1322 b=4.1322 c=4.1322 alpha=60.00 beta=60.00 gamma=60.00
With the nearest neighbours (Å) after each atom.
Fractional coordinates of all 4 atoms:
Ti 0.2500 0.2500 0.2500  4 O 2.53, 4 P 2.53
Ti 0.7500 0.7500 0.7500  4 O 2.53, 4 P 2.53
P 0.0000 0.0000 0.0000  8 Ti 2.53
O 0.5000 0.5000 0.5000  8 Ti 2.53

Record 8
Density functional theory data (PBE) for LiCoAg2 after structural relaxation.

Calculated values
- crystal system = tetragonal
- calculated total energy (eV per atom) = -3.45
- density (g/cm3) = 7.68
- ΔH_f (0 K) (meV per atom) = 231

Unit cell a=4.9199 b=4.9199 c=4.9199 alpha=133.88 beta=133.88 gamma=67.28
With the nearest neighbours (Å) after each atom.
Fractional coordinates of all 4 atoms:
Li 0.0000 0.0000 0.0000  8 Ag 2.73-2.81, 4 Co 2.81
Co 0.7500 0.2500 0.5000  8 Ag 2.73-2.81, 4 Li 2.81
Ag 0.2500 0.7500 0.5000  4 Co 2.73, 4 Li 2.81, 4 Ag 2.81
Ag 0.5000 0.5000 0.0000  4 Li 2.73, 4 Co 2.81, 4 Ag 2.81

Record 9
Density functional theory data (PBE) for Pm2MgPb2 after structural relaxation.

Calculated values
- excess energy over the best structure of this formula in the dataset (meV/atom) = 0
- crystal system = tetragonal
- calculated total energy (eV per atom) = -4.18
- density (g/cm3) = 8.23
- ΔH_f (0 K) (meV per atom) = -477

Unit cell a=7.9390 b=7.9390 c=4.6663 alpha=90.00 beta=90.00 gamma=90.00
With the nearest neighbours (Å) after each atom.
Fractional coordinates of all 10 atoms:
Pm 0.1734 0.3266 0.0000  6 Pb 3.18-3.39
Pm 0.3266 0.8266 0.0000  6 Pb 3.18-3.39
Pm 0.6734 0.1734 0.0000  6 Pb 3.18-3.39
Pm 0.8266 0.6734 0.0000  6 Pb 3.18-3.39
Mg 0.0000 0.0000 0.5000  4 Pb 3.09
Mg 0.5000 0.5000 0.5000  4 Pb 3.09
Pb 0.1344 0.6344 0.5000  1 Pb 3.02, 2 Mg 3.09, 2 Pm 3.18
Pb 0.3656 0.1344 0.5000  1 Pb 3.02, 2 Mg 3.09, 2 Pm 3.18
Pb 0.6344 0.8656 0.5000  1 Pb 3.02, 2 Mg 3.09, 2 Pm 3.18
Pb 0.8656 0.3656 0.5000  1 Pb 3.02, 2 Mg 3.09, 2 Pm 3.18

Record 10
Density functional theory data (PBE) for CuSi2Ni after structural relaxation.

Calculated values
- crystal system = cubic
- calculated total energy (eV per atom) = -5.12
- density (g/cm3) = 5.92
- ΔE_f (raw) (meV/atom) = 63

Unit cell a=4.1369 b=4.1369 c=4.1369 alpha=60.00 beta=60.00 gamma=60.00
With the nearest neighbours (Å) after each atom.
Fractional coordinates of all 4 atoms:
Cu 0.0000 0.0000 0.0000  8 Si 2.53
Si 0.2500 0.2500 0.2500  4 Ni 2.53, 4 Cu 2.53
Si 0.7500 0.7500 0.7500  4 Ni 2.53, 4 Cu 2.53
Ni 0.5000 0.5000 0.5000  8 Si 2.53

Record 11
Density functional theory data (PBE) for Tb2Pm2Al after structural relaxation.

Calculated values
- excess energy over the best structure of this formula in the dataset (meV/atom) = 418
- crystal system = tetragonal
- calculated total energy (eV per atom) = -4.08
- density (g/cm3) = 6.50
- ΔH_f (0 K) (meV per atom) = 423

Unit cell a=9.3343 b=9.3343 c=9.3343 alpha=153.44 beta=153.44 gamma=37.91
With the nearest neighbours (Å) after each atom.
Fractional coordinates of all 5 atoms:
Tb 0.0849 0.0849 0.0000  1 Tb 3.00
Tb 0.9151 0.9151 0.0000  1 Tb 3.00
Pm 0.2500 0.7500 0.5000  4 Pm 3.03
Pm 0.7500 0.2500 0.5000  4 Pm 3.03
Al 0.5000 0.5000 0.0000  8 Tb 3.38

Record 12
Density functional theory data (PBE) for KAlAg2 after structural relaxation.

Calculated values
- crystal system = orthorhombic
- calculated total energy (eV per atom) = -2.39
- density (g/cm3) = 4.69
- ΔH_f (0 K) (meV per atom) = 245

Unit cell a=5.2913 b=5.2913 c=5.2913 alpha=128.99 beta=114.37 gamma=87.61
With the nearest neighbours (Å) after each atom.
Fractional coordinates of all 4 atoms:
K 0.0000 0.0000 0.0000  8 Ag 3.22-3.28
Al 0.5000 0.5000 0.0000  4 Ag 2.71
Ag 0.3089 0.8089 0.5000  2 Al 2.71, 1 Ag 2.92
Ag 0.6911 0.1911 0.5000  2 Al 2.71, 1 Ag 2.92

Repeat the fifth record exactly.
Density functional theory data (PBE) for TbCe4Y3Te8 after structural relaxation.

Calculated values
- crystal system = trigonal
- calculated total energy (eV per atom) = -5.91
- density (g/cm3) = 6.78
- ΔE_f (raw) (meV/atom) = -1351

Unit cell a=8.9331 b=8.9331 c=8.9331 alpha=58.92 beta=58.92 gamma=58.92
With the nearest neighbours (Å) after each atom.
Fractional coordinates of all 16 atoms:
Tb 0.0000 0.0000 0.0000  6 Te 3.09
Ce 0.0000 0.0000 0.5000  6 Te 3.18
Ce 0.0000 0.5000 0.0000  6 Te 3.18
Ce 0.5000 0.0000 0.0000  6 Te 3.18
Ce 0.5000 0.5000 0.5000  6 Te 3.18
Y 0.0000 0.5000 0.5000  6 Te 3.09
Y 0.5000 0.0000 0.5000  6 Te 3.09
Y 0.5000 0.5000 0.0000  6 Te 3.09
Te 0.2467 0.2467 0.7461  2 Y 3.09, 1 Tb 3.09, 3 Ce 3.18
Te 0.2467 0.7461 0.2467  2 Y 3.09, 1 Tb 3.09, 3 Ce 3.18
Te 0.2536 0.2536 0.2536  3 Y 3.09, 3 Ce 3.18
Te 0.2539 0.7533 0.7533  2 Y 3.09, 1 Tb 3.09, 3 Ce 3.18
Te 0.7461 0.2467 0.2467  2 Y 3.09, 1 Tb 3.09, 3 Ce 3.18
Te 0.7464 0.7464 0.7464  3 Y 3.09, 3 Ce 3.18
Te 0.7533 0.2539 0.7533  2 Y 3.09, 1 Tb 3.09, 3 Ce 3.18
Te 0.7533 0.7533 0.2539  2 Y 3.09, 1 Tb 3.09, 3 Ce 3.18